No. 1
A geometry-optimized Gd2BiO2 structure, computed with GGA-PBEsol.

Summary:
Formation energy without anion corrections = -2.6947 eV/atom
Mass density = 9.11 Mg/m³
Crystal system = tetragonal

Lattice parameters (Å, degrees): 3.874 3.874 13.497 90.00 90.00 90.00
Space group I4/mmm (No. 139)
Symmetry-distinct sites (fractional):
Gd (0.000, 0.000, 0.166) [4 per cell]
Bi (0.000, 0.000, 0.500) [2 per cell]
O (0.000, 0.500, 0.250) [4 per cell]

No. 2
A geometry-optimized GeBiH3 structure, computed with GGA-PBEsol.

Summary:
Mass density = 8.16 Mg/m³
Crystal system = cubic
Raw total energy = -3.260 eV/atom

Lattice parameters (Å, degrees): 3.869 3.869 3.869 90.00 90.00 90.00
Space group Pm-3m (No. 221)
Symmetry-distinct sites (fractional):
Ge (0.000, 0.000, 0.000) [1 per cell]
Bi (0.500, 0.500, 0.500) [1 per cell]
H (0.000, 0.000, 0.500) [3 per cell]

No. 3
A geometry-optimized GeBi2TeH structure, computed with GGA-PBEsol.

Summary:
Mass density = 7.82 Mg/m³
Crystal system = tetragonal
Raw total energy = -3.649 eV/atom

Lattice parameters (Å, degrees): 6.019 6.019 3.628 90.00 90.00 90.00
Space group P4/mmm (No. 123)
Symmetry-distinct sites (fractional):
Ge (0.000, 0.000, 0.000) [1 per cell]
Bi (0.000, 0.500, 0.500) [2 per cell]
Te (0.500, 0.500, 0.500) [1 per cell]
H (0.500, 0.500, 0.000) [1 per cell]

No. 4
A geometry-optimized Hf3GeBi structure, computed with GGA-PBEsol.

Summary:
Mass density = 11.21 Mg/m³
Crystal system = cubic
Energy of formation = 0.31 eV/atom
Energy above the lowest structure with this stoichiometry = 0 meV per atom

Lattice parameters (Å, degrees): 4.946 4.946 4.946 90.00 90.00 90.00
Space group Pm-3m (No. 221)
Symmetry-distinct sites (fractional):
Hf (0.000, 0.000, 0.500) [3 per cell]
Ge (0.000, 0.000, 0.000) [1 per cell]
Bi (0.500, 0.500, 0.500) [1 per cell]

No. 5
A geometry-optimized Hf3GeBi structure, computed with GGA-PBEsol.

Summary:
Mass density = 9.28 Mg/m³
Crystal system = cubic
Energy of formation = 1.49 eV/atom
Energy above the lowest structure with this stoichiometry = 1175 meV per atom

Lattice parameters (Å, degrees): 5.268 5.268 5.268 90.00 90.00 90.00
Space group Pm-3m (No. 221)
Symmetry-distinct sites (fractional):
Hf (0.000, 0.000, 0.500) [3 per cell]
Ge (0.500, 0.500, 0.500) [1 per cell]
Bi (0.000, 0.000, 0.000) [1 per cell]

No. 6
A geometry-optimized Hg3GeBi structure, computed with GGA-PBEsol.

Summary:
Mass density = 7.96 Mg/m³
Crystal system = cubic
Energy of formation = 0.78 eV/atom

Lattice parameters (Å, degrees): 5.691 5.691 5.691 90.00 90.00 90.00
Space group Pm-3m (No. 221)
Symmetry-distinct sites (fractional):
Hg (0.000, 0.000, 0.500) [3 per cell]
Ge (0.500, 0.500, 0.500) [1 per cell]
Bi (0.000, 0.000, 0.000) [1 per cell]

No. 7
A geometry-optimized TlHgGeBi2 structure, computed with GGA-PBEsol.

Summary:
Mass density = 8.36 Mg/m³
Crystal system = tetragonal
Energy of formation = 0.86 eV/atom

Lattice parameters (Å, degrees): 5.840 5.840 5.216 90.00 90.00 90.00
Space group P4/mmm (No. 123)
Symmetry-distinct sites (fractional):
Tl (0.000, 0.000, 0.000) [1 per cell]
Hg (0.500, 0.500, 0.500) [1 per cell]
Ge (0.000, 0.000, 0.500) [1 per cell]
Bi (0.000, 0.500, 0.000) [2 per cell]

No. 8
A geometry-optimized InGeBi2I structure, computed with GGA-PBEsol.

Summary:
Formation energy without anion corrections = 0.3957 eV/atom
Mass density = 7.22 Mg/m³
Crystal system = tetragonal

Lattice parameters (Å, degrees): 5.479 5.479 5.611 90.00 90.00 90.00
Space group P4/mmm (No. 123)
Symmetry-distinct sites (fractional):
In (0.000, 0.000, 0.000) [1 per cell]
Ge (0.000, 0.000, 0.500) [1 per cell]
Bi (0.000, 0.500, 0.500) [2 per cell]
I (0.500, 0.500, 0.000) [1 per cell]